(1)
A relaxed structure of BeSiSb2. Source: Alexandria via LeMat-Bulk, functional PBE-GGA.

```
BeSiSb2
1.0
7.8927 -0.7679 -1.7356
-4.1171 4.4807 0.6855
-0.3416 1.2066 2.7269
Si Sb Be
1 2 1
Direct
0.0000 0.5000 0.5000 Si
0.0000 0.0000 0.0000 Sb
0.5000 0.0000 0.5000 Sb
0.5000 0.5000 0.0000 Be
```

Values from the calculation:
ΔE_f (raw) in eV/atom: 0.518
E in hartree per atom: -0.1408
Theoretical density in g/cm³: 5.33
SG: No. 12

=====

(2)
A relaxed structure of BaCdHg2. Source: Alexandria via LeMat-Bulk, functional PBE-GGA.

```
BaCdHg2
1.0
-1.1055 -3.3098 -2.2701
4.0090 -1.0272 -0.4547
-0.3451 -4.0072 6.0107
Ba Hg Cd
1 2 1
Direct
0.0000 0.0000 0.4937 Ba
0.5000 0.5000 0.2197 Hg
0.0000 0.0000 0.9862 Hg
0.5000 0.5000 0.8004 Cd
```

Values from the calculation:
E in hartree per atom: -0.0417
ΔH_f (0 K) in eV per formula unit: -1.10
Theoretical density in g/cm³: 8.62
SG: No. 99

=====

(3)
A relaxed structure of Ti3AlH. Source: Alexandria via LeMat-Bulk, functional PBE-GGA.

```
Ti3AlH
1.0
2.6151 -1.5098 0.0000
0.0000 3.0196 0.0000
0.0000 0.0000 18.2909
Ti H Al
6 2 2
Direct
0.3333 0.6667 0.8754 Ti
0.0000 0.0000 0.7500 Ti
0.6667 0.3333 0.3754 Ti
0.0000 0.0000 0.2500 Ti
0.6667 0.3333 0.1246 Ti
0.3333 0.6667 0.6246 Ti
0.6667 0.3333 0.2500 H
0.3333 0.6667 0.7500 H
0.0000 0.0000 0.5000 Al
0.0000 0.0000 0.0000 Al
```

Values from the calculation:
E in hartree per atom: -0.2301
Theoretical density in g/cm³: 3.95
SG: No. 194

=====

- Look up the theoretical density of the third one.
  3.95 g/cm³

=====

- What is the formula in the third record?
  Ti3AlH

=====

- The lowest theoretical density belongs to which entry?
  Ti3AlH

=====

- Number 1 is which compound?
  BeSiSb2